[1]
VASP calculation (meta-GGA SCAN) on a crystal of Li2V2Si3O9 relaxed with PBEsol.

Cell lengths 9.922, 9.922, 12.246 Å; angles 90.00, 90.00, 120.00 degrees
Element x y z (fractional)
O 0.300 0.010 0.187
O 0.854 0.135 0.215
O 0.700 0.176 0.794
O 0.602 0.133 0.202
O 0.784 0.490 0.097
O 0.229 0.390 0.562
O 0.931 0.122 0.667
O 0.139 0.308 0.133
O 0.138 0.571 0.686
O 0.191 0.069 0.000
O 0.985 0.950 0.530
O 0.402 0.015 0.842
O 0.788 0.557 0.673
O 0.865 0.719 0.882
O 0.878 0.809 0.333
O 0.475 0.300 0.127
O 0.492 0.058 0.635
O 0.433 0.862 0.020
O 0.349 0.607 0.155
O 0.742 0.855 0.018
O 0.867 0.468 0.869
O 0.206 0.228 0.790
O 0.481 0.538 0.759
O 0.824 0.525 0.461
O 0.510 0.294 0.764
O 0.263 0.478 0.962
O 0.613 0.598 0.175
O 0.145 0.887 0.685
O 0.772 0.978 0.457
O 0.706 0.216 0.430
O 0.610 0.839 0.229
O 0.532 0.398 0.535
O 0.022 0.794 0.124
O 0.169 0.861 0.467
O 0.429 0.567 0.353
O 0.942 0.434 0.302
O 0.393 0.741 0.822
O 0.281 0.146 0.549
O 0.057 0.519 0.093
O 0.462 0.943 0.426
O 0.443 0.231 0.339
O 0.259 0.651 0.489
O 0.050 0.035 0.197
O 0.692 0.831 0.800
O 0.710 0.700 0.520
O 0.215 0.737 0.296
O 0.161 0.771 0.895
O 0.985 0.387 0.508
O 0.990 0.290 0.853
O 0.566 0.508 0.969
O 0.113 0.258 0.351
O 0.769 0.212 0.006
O 0.522 0.785 0.629
O 0.965 0.015 0.864
V 0.998 0.178 0.508
V 0.966 0.633 0.997
V 0.660 0.999 0.088
V 0.001 0.660 0.755
V 0.367 0.333 0.663
V 0.822 0.820 0.175
V 0.675 0.507 0.822
V 0.493 0.167 0.488
V 0.180 0.002 0.841
V 0.667 0.034 0.330
V 0.340 0.340 0.422
V 0.833 0.325 0.155
Li 0.337 0.827 0.663
Li 0.016 0.620 0.216
Li 0.173 0.511 0.330
Li 0.091 0.871 0.317
Li 0.129 0.220 0.984
Li 0.338 0.824 0.165
Li 0.176 0.513 0.832
Li 0.380 0.396 0.883
Li 0.487 0.662 0.499
Li 0.780 0.909 0.651
Li 0.604 0.984 0.550
Li 0.489 0.663 0.996
Si 0.833 0.852 0.447
Si 0.285 0.802 0.414
Si 0.463 0.176 0.219
Si 0.824 0.287 0.886
Si 0.713 0.537 0.553
Si 0.153 0.963 0.566
Si 0.198 0.483 0.081
Si 0.497 0.649 0.238
Si 0.037 0.189 0.233
Si 0.531 0.143 0.752
Si 0.020 0.167 0.780
Si 0.351 0.848 0.904
Si 0.152 0.503 0.571
Si 0.148 0.980 0.114
Si 0.857 0.388 0.419
Si 0.517 0.715 0.748
Si 0.612 0.469 0.086
Si 0.811 0.847 0.900

Density (g/cm3): 3.3
M_tot (μB per cell): 36.000
Raw total energy (eV/atom): -10.557
Formation energy (no corrections) (meV per atom): -2689

=====

[2]
VASP calculation (meta-GGA SCAN) on a crystal of Li2VSi4O11 relaxed with PBEsol.

Cell lengths 7.153, 7.153, 8.068 Å; angles 81.64, 81.64, 84.37 degrees
Element x y z (fractional)
O 0.868 0.132 0.750
O 0.258 0.867 0.558
O 0.734 0.453 0.580
O 0.867 0.258 0.058
O 0.132 0.868 0.250
O 0.581 0.785 0.672
O 0.061 0.250 0.470
O 0.578 0.853 0.336
O 0.939 0.750 0.530
O 0.266 0.547 0.420
O 0.453 0.734 0.080
O 0.422 0.147 0.664
O 0.742 0.133 0.442
O 0.133 0.742 0.942
O 0.250 0.061 0.970
O 0.215 0.419 0.828
O 0.853 0.578 0.836
O 0.750 0.939 0.030
O 0.547 0.266 0.920
O 0.147 0.422 0.164
O 0.785 0.581 0.172
O 0.419 0.215 0.328
Si 0.229 0.355 0.344
Si 0.355 0.229 0.844
Si 0.645 0.771 0.156
Si 0.245 0.843 0.060
Si 0.843 0.245 0.560
Si 0.157 0.755 0.440
Si 0.755 0.157 0.940
Si 0.771 0.645 0.656
Li 0.657 0.343 0.250
Li 0.343 0.657 0.750
Li 0.072 0.928 0.750
Li 0.928 0.072 0.250
V 0.000 0.500 0.000
V 0.500 0.000 0.500

Polymorph energy (0 for the lowest one) (eV/atom): 0.000
Density (g/cm3): 2.9
M_tot (μB per cell): 2.000
Raw total energy (eV/atom): -10.112
Formation energy (no corrections) (meV per atom): -2841